Run a
The following is a GGA-PBE calculation of NaHf2Ti after structural relaxation, from Alexandria via LeMat-Bulk.

As for the volume: 21.40 A^3/atom.

Unit cell a=4.9466 b=4.9466 c=4.9466 alpha=60.00 beta=60.00 gamma=60.00
Fractional positions:
Na1 0.0000 0.0000 0.0000
Hf1 0.2500 0.2500 0.2500
Hf2 0.7500 0.7500 0.7500
Ti1 0.5000 0.5000 0.5000

---

Run b
The following is a GGA-PBE calculation of NaHf2Ti after structural relaxation, from Alexandria via LeMat-Bulk.

As for the volume: 22.79 A^3/atom.

Unit cell a=10.8107 b=10.8107 c=10.8107 alpha=157.67 beta=157.67 gamma=31.79
Fractional positions:
Na1 0.0000 0.0000 0.0000
Na2 0.7500 0.2500 0.5000
Hf1 0.1369 0.6250 0.0119
Hf2 0.3750 0.3869 0.5119
Hf3 0.6131 0.1250 0.9881
Hf4 0.8750 0.8631 0.4881
Ti1 0.2500 0.7500 0.5000
Ti2 0.5000 0.5000 0.0000

---

The relative energies come out as run a 0; run b 336, with values in meV/atom.

---

Run a
The following is a GGA-PBE calculation of Na2HfTi after structural relaxation, from Alexandria via LeMat-Bulk.

As for the volume: 23.55 A^3/atom.

Unit cell a=6.5116 b=6.5116 c=6.5116 alpha=99.69 beta=99.69 gamma=131.57
Fractional positions:
Na1 0.1105 0.6250 0.9855
Na2 0.3750 0.3605 0.4855
Na3 0.6395 0.1250 0.0145
Na4 0.8750 0.8895 0.5145
Hf1 0.2500 0.7500 0.5000
Hf2 0.5000 0.5000 0.0000
Ti1 0.0000 0.0000 0.0000
Ti2 0.7500 0.2500 0.5000

---

Run b
The following is a GGA-PBE calculation of Na2HfTi after structural relaxation, from Alexandria via LeMat-Bulk.

As for the volume: 23.06 A^3/atom.

Unit cell a=5.0716 b=5.0716 c=5.0716 alpha=60.00 beta=60.00 gamma=60.00
Fractional positions:
Na1 0.2500 0.2500 0.2500
Na2 0.7500 0.7500 0.7500
Hf1 0.0000 0.0000 0.0000
Ti1 0.5000 0.5000 0.5000

---

The relative energies come out as run a 0; run b 36, with values in meV/atom.

---

Run a
The following is a GGA-PBE calculation of Na3HfTi after structural relaxation, from Alexandria via LeMat-Bulk.

As for the volume: 30.42 A^3/atom.

Unit cell a=5.3377 b=5.3377 c=5.3377 alpha=90.00 beta=90.00 gamma=90.00
Fractional positions:
Na1 0.0000 0.0000 0.5000
Na2 0.0000 0.5000 0.0000
Na3 0.5000 0.0000 0.0000
Hf1 0.5000 0.5000 0.5000
Ti1 0.0000 0.0000 0.0000

---

Run b
The following is a GGA-PBE calculation of Na3HfTi after structural relaxation, from Alexandria via LeMat-Bulk.

As for the volume: 38.44 A^3/atom.

Unit cell a=5.7708 b=5.7708 c=5.7708 alpha=90.00 beta=90.00 gamma=90.00
Fractional positions:
Na1 0.0000 0.0000 0.5000
Na2 0.0000 0.5000 0.0000
Na3 0.5000 0.0000 0.0000
Hf1 0.0000 0.0000 0.0000
Ti1 0.5000 0.5000 0.5000

---

The relative energies come out as run a 0; run b 274, with values in meV/atom.

---

Run a
The following is a GGA-PBE calculation of NaHfTi2 after structural relaxation, from Alexandria via LeMat-Bulk.

As for the volume: 20.64 A^3/atom.

Unit cell a=4.8876 b=4.8876 c=4.8876 alpha=60.00 beta=60.00 gamma=60.00
Fractional positions:
Na1 0.0000 0.0000 0.0000
Hf1 0.5000 0.5000 0.5000
Ti1 0.2500 0.2500 0.2500
Ti2 0.7500 0.7500 0.7500

---

Run b
The following is a GGA-PBE calculation of NaHfTi2 after structural relaxation, from Alexandria via LeMat-Bulk.

As for the volume: 21.02 A^3/atom.

Unit cell a=10.5320 b=10.5320 c=10.5320 alpha=157.69 beta=157.69 gamma=31.75
Fractional positions:
Na1 0.0000 0.0000 0.0000
Na2 0.7500 0.2500 0.5000
Hf1 0.2500 0.7500 0.5000
Hf2 0.5000 0.5000 0.0000
Ti1 0.1411 0.6250 0.0161
Ti2 0.3750 0.3911 0.5161
Ti3 0.6089 0.1250 0.9839
Ti4 0.8750 0.8589 0.4839

---

The relative energies come out as run a 0; run b 235, with values in meV/atom.

---

Run a
The following is a GGA-PBE calculation of NaHf3Tl after structural relaxation, from Alexandria via LeMat-Bulk.

As for the volume: 24.70 A^3/atom.

Unit cell a=4.9798 b=4.9798 c=4.9798 alpha=90.00 beta=90.00 gamma=90.00
Fractional positions:
Na1 0.0000 0.0000 0.0000
Hf1 0.0000 0.0000 0.5000
Hf2 0.0000 0.5000 0.0000
Hf3 0.5000 0.0000 0.0000
Tl1 0.5000 0.5000 0.5000

---

Run b
The following is a GGA-PBE calculation of NaHf3Tl after structural relaxation, from Alexandria via LeMat-Bulk.

As for the volume: 31.46 A^3/atom.

Unit cell a=5.3981 b=5.3981 c=5.3981 alpha=90.00 beta=90.00 gamma=90.00
Fractional positions:
Na1 0.0000 0.0000 0.0000
Hf1 0.0000 0.5000 0.5000
Hf2 0.5000 0.0000 0.5000
Hf3 0.5000 0.5000 0.0000
Tl1 0.5000 0.5000 0.5000

---

The relative energies come out as run a 62; run b 0, with values in meV/atom.

---

Run a
The following is a GGA-PBE calculation of Na2HfTl after structural relaxation, from Alexandria via LeMat-Bulk.

As for the volume: 27.00 A^3/atom.

Unit cell a=12.4332 b=12.4332 c=12.4332 alpha=14.72 beta=14.72 gamma=14.72
Fractional positions:
Na1 0.0863 0.0863 0.0863
Na2 0.9137 0.9137 0.9137
Hf1 0.0000 0.0000 0.0000
Tl1 0.5000 0.5000 0.5000

---

Run b
The following is a GGA-PBE calculation of Na2HfTl after structural relaxation, from Alexandria via LeMat-Bulk.

As for the volume: 27.84 A^3/atom.

Unit cell a=6.8035 b=6.8035 c=6.8035 alpha=101.02 beta=101.02 gamma=128.16
Fractional positions:
Na1 0.1002 0.6250 0.9752
Na2 0.3750 0.3502 0.4752
Na3 0.6498 0.1250 0.0248
Na4 0.8750 0.8998 0.5248
Hf1 0.2500 0.7500 0.5000
Hf2 0.5000 0.5000 0.0000
Tl1 0.0000 0.0000 0.0000
Tl2 0.7500 0.2500 0.5000

---

The relative energies come out as run a 0; run b 330, with values in meV/atom.